(1)
# Li2MgZrTe4

A geometry-optimized Li2MgZrTe4 structure (GGA-PBE, the Alexandria database).

Computed properties:
The density of states at the Fermi level is 0.151 states/eV/atom. As for the formation energy (no corrections): -0.883 eV/atom.

```
data_Li2MgZrTe4
_chemical_formula_sum 'Li2 Mg1 Zr1 Te4'
_cell_length_a 7.265
_cell_length_b 4.154
_cell_length_c 7.361
_cell_angle_alpha 90.00
_cell_angle_beta 108.98
_cell_angle_gamma 90.00
_space_group_name_H-M_alt 'P 1 2/m 1'
_space_group_IT_number 10
_space_group_name_Hall '-P 2y'
loop_
_atom_site_label
_atom_site_fract_x
_atom_site_fract_y
_atom_site_fract_z
Li1 0.000 0.000 0.000
Li2 0.500 0.500 0.000
Mg1 0.000 0.500 0.500
Zr1 0.500 0.000 0.500
Te1 0.249 0.000 0.742
Te2 0.257 0.500 0.253
```

---

(2)
# LiSbAs

A geometry-optimized LiSbAs structure (GGA-PBE, the Alexandria database).

Computed properties:
The density of states at the Fermi level is 0.131 states/eV/atom. As for the formation energy (no corrections): -0.239 eV/atom.

```
data_LiSbAs
_chemical_formula_sum 'Li4 Sb4 As4'
_cell_length_a 3.836
_cell_length_b 8.115
_cell_length_c 9.372
_cell_angle_alpha 90.00
_cell_angle_beta 90.00
_cell_angle_gamma 90.00
_space_group_name_H-M_alt 'A m m 2'
_space_group_IT_number 38
_space_group_name_Hall 'A 2 -2'
loop_
_atom_site_label
_atom_site_fract_x
_atom_site_fract_y
_atom_site_fract_z
Li1 0.000 0.000 0.000
Li2 0.000 0.000 0.419
Sb1 0.000 0.198 0.703
As1 0.500 0.236 0.506
```

---

(3)
# In6Bi

A geometry-optimized In6Bi structure (GGA-PBE, the Alexandria database).

Computed properties:
The density of states at the Fermi level is 0.828 states/eV/atom. As for the energy above the most stable polymorph in this dataset: 488 meV per atom. The value obtained for the calculated formation energy is 0.53 eV/atom.

```
data_In6Bi
_chemical_formula_sum 'In12 Bi2'
_cell_length_a 8.110
_cell_length_b 8.110
_cell_length_c 8.110
_cell_angle_alpha 90.00
_cell_angle_beta 90.00
_cell_angle_gamma 90.00
_space_group_name_H-M_alt 'I m -3 m'
_space_group_IT_number 229
_space_group_name_Hall '-I 4 2 3'
loop_
_atom_site_label
_atom_site_fract_x
_atom_site_fract_y
_atom_site_fract_z
In1 0.000 0.250 0.500
Bi1 0.000 0.000 0.000
```

---

(4)
# CoS2BrN

A geometry-optimized CoS2BrN structure (GGA-PBE, the Alexandria database).

Computed properties:
The density of states at the Fermi level is 0.646 states/eV/atom. As for the energy above the most stable polymorph in this dataset: 1111 meV per atom. As for the formation energy (no corrections): 1.868 eV/atom.

```
data_CoS2BrN
_chemical_formula_sum 'Co1 S2 Br1 N1'
_cell_length_a 4.975
_cell_length_b 4.975
_cell_length_c 3.653
_cell_angle_alpha 90.00
_cell_angle_beta 90.00
_cell_angle_gamma 90.00
_space_group_name_H-M_alt 'P 4/m m m'
_space_group_IT_number 123
_space_group_name_Hall '-P 4 2'
loop_
_atom_site_label
_atom_site_fract_x
_atom_site_fract_y
_atom_site_fract_z
Co1 0.000 0.000 0.000
S1 0.000 0.500 0.500
Br1 0.500 0.500 0.500
N1 0.500 0.500 0.000
```

---

(5)
# AcCe3Pr2S6

A geometry-optimized AcCe3Pr2S6 structure (GGA-PBE, the Alexandria database).

Computed properties:
The density of states at the Fermi level is 1.473 states/eV/atom. As for the formation energy (no corrections): -2.021 eV/atom.

```
data_AcCe3Pr2S6
_chemical_formula_sum 'Ac2 Ce6 Pr4 S12'
_cell_length_a 7.100
_cell_length_b 12.305
_cell_length_c 7.126
_cell_angle_alpha 90.00
_cell_angle_beta 109.45
_cell_angle_gamma 90.00
_space_group_name_H-M_alt 'C 1 2/m 1'
_space_group_IT_number 12
_space_group_name_Hall '-C 2y'
loop_
_atom_site_label
_atom_site_fract_x
_atom_site_fract_y
_atom_site_fract_z
Ac1 0.000 0.000 0.000
Ce1 0.000 0.165 0.500
Ce2 0.000 0.500 0.500
Pr1 0.000 0.333 0.000
S1 0.243 0.330 0.740
S2 0.247 0.500 0.259
```

---

(6)
# BaHfRu2

A geometry-optimized BaHfRu2 structure (GGA-PBE, the Alexandria database).

Computed properties:
The density of states at the Fermi level is 1.260 states/eV/atom. As for the energy above the most stable polymorph in this dataset: 158 meV per atom. The value obtained for the calculated formation energy is 0.59 eV/atom.

```
data_BaHfRu2
_chemical_formula_sum 'Ba4 Hf4 Ru8'
_cell_length_a 5.122
_cell_length_b 5.122
_cell_length_c 17.459
_cell_angle_alpha 90.00
_cell_angle_beta 90.00
_cell_angle_gamma 90.00
_space_group_name_H-M_alt 'I -4 2 d'
_space_group_IT_number 122
_space_group_name_Hall 'I -4 2bw'
loop_
_atom_site_label
_atom_site_fract_x
_atom_site_fract_y
_atom_site_fract_z
Ba1 0.000 0.000 0.000
Hf1 0.000 0.000 0.500
Ru1 0.001 0.250 0.625
```

---

(7)
# PuTlZnHg

A geometry-optimized PuTlZnHg structure (GGA-PBE, the Alexandria database).

Computed properties:
The density of states at the Fermi level is 3.249 states/eV/atom. The value obtained for the calculated formation energy is 0.00 eV/atom.

```
data_PuTlZnHg
_chemical_formula_sum 'Pu4 Tl4 Zn4 Hg4'
_cell_length_a 7.267
_cell_length_b 7.267
_cell_length_c 7.267
_cell_angle_alpha 90.00
_cell_angle_beta 90.00
_cell_angle_gamma 90.00
_space_group_name_H-M_alt 'F -4 3 m'
_space_group_IT_number 216
_space_group_name_Hall 'F -4 2 3'
loop_
_atom_site_label
_atom_site_fract_x
_atom_site_fract_y
_atom_site_fract_z
Pu1 0.000 0.000 0.000
Tl1 0.250 0.250 0.250
Zn1 0.000 0.000 0.500
Hg1 0.250 0.250 0.750
```

---

(8)
# CeGa5Ag

A geometry-optimized CeGa5Ag structure (GGA-PBE, the Alexandria database).

Computed properties:
The density of states at the Fermi level is 0.614 states/eV/atom. The value obtained for the calculated formation energy is -0.30 eV/atom.

```
data_CeGa5Ag
_chemical_formula_sum 'Ce1 Ga5 Ag1'
_cell_length_a 4.483
_cell_length_b 4.483
_cell_length_c 7.018
_cell_angle_alpha 90.00
_cell_angle_beta 90.00
_cell_angle_gamma 90.00
_space_group_name_H-M_alt 'P 4/m m m'
_space_group_IT_number 123
_space_group_name_Hall '-P 4 2'
loop_
_atom_site_label
_atom_site_fract_x
_atom_site_fract_y
_atom_site_fract_z
Ce1 0.000 0.000 0.000
Ga1 0.000 0.500 0.289
Ga2 0.500 0.500 0.000
Ag1 0.000 0.000 0.500
```

---

(9)
# HfIn2I2

A geometry-optimized HfIn2I2 structure (GGA-PBE, the Alexandria database).

Computed properties:
The density of states at the Fermi level is 0.623 states/eV/atom. As for the energy above the most stable polymorph in this dataset: 166 meV per atom. As for the formation energy (no corrections): 0.476 eV/atom.

```
data_HfIn2I2
_chemical_formula_sum 'Hf2 In4 I4'
_cell_length_a 6.404
_cell_length_b 6.404
_cell_length_c 8.764
_cell_angle_alpha 90.00
_cell_angle_beta 90.00
_cell_angle_gamma 90.00
_space_group_name_H-M_alt 'I 4/m m m'
_space_group_IT_number 139
_space_group_name_Hall '-I 4 2'
loop_
_atom_site_label
_atom_site_fract_x
_atom_site_fract_y
_atom_site_fract_z
Hf1 0.000 0.000 0.000
In1 0.000 0.000 0.338
I1 0.000 0.500 0.250
```

---

(10)
# SnRhCl2

A geometry-optimized SnRhCl2 structure (GGA-PBE, the Alexandria database).

Computed properties:
The density of states at the Fermi level is 1.012 states/eV/atom. As for the energy above the most stable polymorph in this dataset: 50 meV per atom. As for the formation energy (no corrections): -0.040 eV/atom.

```
data_SnRhCl2
_chemical_formula_sum 'Sn3 Rh3 Cl6'
_cell_length_a 3.2796
_cell_length_b 3.2796
_cell_length_c 27.7145
_cell_angle_alpha 90.00
_cell_angle_beta 90.00
_cell_angle_gamma 120.00
_space_group_name_H-M_alt 'R -3 m'
_space_group_IT_number 166
_space_group_name_Hall '-R 3 2"'
loop_
_atom_site_label
_atom_site_fract_x
_atom_site_fract_y
_atom_site_fract_z
Sn1 0.0000 0.0000 0.0000
Rh1 0.0000 0.0000 0.5000
Cl1 0.0000 0.0000 0.4179
```

---

(11)
# Pm3Nd4TmTe8

A geometry-optimized Pm3Nd4TmTe8 structure (GGA-PBE, the Alexandria database).

Computed properties:
The density of states at the Fermi level is 0.776 states/eV/atom. As for the formation energy (no corrections): -1.381 eV/atom.

```
data_Pm3Nd4TmTe8
_chemical_formula_sum 'Pm9 Nd12 Tm3 Te24'
_cell_length_a 8.9166
_cell_length_b 8.9166
_cell_length_c 21.9244
_cell_angle_alpha 90.00
_cell_angle_beta 90.00
_cell_angle_gamma 120.00
_space_group_name_H-M_alt 'R -3 m'
_space_group_IT_number 166
_space_group_name_Hall '-R 3 2"'
loop_
_atom_site_label
_atom_site_fract_x
_atom_site_fract_y
_atom_site_fract_z
Pm1 0.0000 0.5000 0.0000
Nd1 0.0000 0.0000 0.5000
Nd2 0.0000 0.5000 0.5000
Tm1 0.0000 0.0000 0.0000
Te1 0.0000 0.0000 0.2509
Te2 0.0071 0.5036 0.7474
```

---

(12)
# Sn2Cl2O

A geometry-optimized Sn2Cl2O structure (GGA-PBE, the Alexandria database).

Computed properties:
The density of states at the Fermi level is 0.000 states/eV/atom. As for the energy above the most stable polymorph in this dataset: 0 meV per atom. As for the formation energy (no corrections): -1.121 eV/atom.

```
data_Sn2Cl2O
_chemical_formula_sum 'Sn8 Cl8 O4'
_cell_length_a 12.390
_cell_length_b 5.844
_cell_length_c 9.114
_cell_angle_alpha 90.00
_cell_angle_beta 123.59
_cell_angle_gamma 90.00
_space_group_name_H-M_alt 'C 1 2/m 1'
_space_group_IT_number 12
_space_group_name_Hall '-C 2y'
loop_
_atom_site_label
_atom_site_fract_x
_atom_site_fract_y
_atom_site_fract_z
Sn1 0.066 0.000 0.378
Sn2 0.193 0.500 0.126
Cl1 0.109 0.500 0.373
Cl2 0.192 0.000 0.070
O1 0.120 0.000 0.648
```